[1]
DFT (PBE) results for a relaxed structure of ZrFeTc.

Lattice parameters (Å, degrees): 5.9737 5.9736 2.9091 75.91 75.91 28.19
Site moments in Bohr magnetons follow the coordinates.
Fractional coordinates of all 3 atoms:
Zr (0.6607, 0.6607, 0.3393)  -0.10
Fe (0.9803, 0.9803, 0.0197)  1.17
Tc (0.3590, 0.3590, 0.6410)  -0.10

Values from the calculation:
Space group = I4mm
Formation enthalpy at 0 K = 0.03 eV/atom
Energy relative to the lowest polymorph listed for this composition = 0.906 eV per formula unit



[2]
DFT (PBE) results for a relaxed structure of MnCuSn.

Lattice parameters (Å, degrees): 5.3220 4.1592 9.0077 90.00 88.77 90.00
Site moments in Bohr magnetons follow the coordinates.
Fractional coordinates of all 12 atoms:
Sn (0.1951, 0.0000, 0.0250)  -0.09
Sn (0.1951, 0.5000, 0.5250)  -0.09
Sn (0.6490, 0.0000, 0.6181)  -0.08
Sn (0.6490, 0.5000, 0.1181)  -0.08
Cu (0.1566, 0.0000, 0.7337)  0.02
Cu (0.8896, 0.5000, 0.7673)  0.05
Cu (0.8896, 0.0000, 0.2673)  0.05
Cu (0.1566, 0.5000, 0.2337)  0.02
Mn (0.7085, 0.5000, 0.4171)  3.10
Mn (0.4056, 0.5000, 0.8289)  3.47
Mn (0.4056, 0.0000, 0.3289)  3.47
Mn (0.7085, 0.0000, 0.9171)  3.10

Values from the calculation:
Space group = Cm
Formation enthalpy at 0 K = 0.15 eV/atom



[3]
DFT (PBE) results for a relaxed structure of Ce5Sn3.

Lattice parameters (Å, degrees): 9.3267 9.3267 9.3267 96.01 96.01 142.25
Site moments in Bohr magnetons follow the coordinates.
Fractional coordinates of all 16 atoms:
Ce (0.7774, 0.9167, 0.6941)  1.04
Ce (0.0833, 0.7774, 0.8607)  1.04
Ce (0.2500, 0.7500, 0.5000)  1.17
Ce (0.4167, 0.2774, 0.6941)  1.04
Ce (0.5833, 0.7226, 0.3059)  1.04
Ce (0.9167, 0.2226, 0.1393)  1.04
Ce (0.7500, 0.2500, 0.5000)  1.17
Ce (0.2774, 0.5833, 0.8607)  1.04
Ce (0.7226, 0.4167, 0.1393)  1.04
Ce (0.2226, 0.0833, 0.3059)  1.04
Sn (0.8387, 0.6613, 0.5000)  -0.05
Sn (0.6613, 0.1613, 0.8225)  -0.05
Sn (0.2500, 0.2500, 0.0000)  -0.03
Sn (0.1613, 0.3387, 0.5000)  -0.05
Sn (0.7500, 0.7500, 0.0000)  -0.03
Sn (0.3387, 0.8387, 0.1775)  -0.05

Values from the calculation:
Space group = I4/mcm
Formation enthalpy at 0 K = -0.53 eV/atom
Energy relative to the lowest polymorph listed for this composition = 0.000 eV per formula unit



[4]
DFT (PBE) results for a relaxed structure of TePb2I2.

Lattice parameters (Å, degrees): 8.7877 8.7877 4.8522 90.00 90.00 90.00
Fractional coordinates of all 10 atoms:
Te (0.0000, 0.0000, 0.0000)
Te (0.5000, 0.5000, 0.0000)
Pb (0.8180, 0.6820, 0.0000)
Pb (0.1820, 0.3180, 0.0000)
Pb (0.6820, 0.1820, 0.0000)
Pb (0.3180, 0.8180, 0.0000)
I (0.3517, 0.1483, 0.5000)
I (0.8517, 0.3517, 0.5000)
I (0.1483, 0.6483, 0.5000)
I (0.6483, 0.8517, 0.5000)

Values from the calculation:
Space group = P4/mbm
Formation energy from raw total energies = -0.303 eV per atom
Energy relative to the lowest polymorph listed for this composition = 1.214 eV per formula unit